Record 1
# ZnIr3Ru (PBE-GGA, relaxed)
# Total magnetization = 4.731 μB per cell
# Energy above the lowest structure with this stoichiometry = 24 meV/atom
# DOS at the Fermi energy = 5.9 states/eV per cell
data_ZnIr3Ru
_chemical_formula_sum 'Zn1 Ir3 Ru1'
_cell_length_a 4.482
_cell_length_b 4.482
_cell_length_c 4.482
_cell_angle_alpha 90.00
_cell_angle_beta 90.00
_cell_angle_gamma 90.00
_space_group_name_H-M_alt 'P m -3 m'
_space_group_IT_number 221
_space_group_name_Hall '-P 4 2 3'
loop_
_atom_site_label
_atom_site_fract_x
_atom_site_fract_y
_atom_site_fract_z
Zn1 0.000 0.000 0.000
Ir1 0.000 0.000 0.500
Ru1 0.500 0.500 0.500


Record 2
# ZnIr2Ru (PBE-GGA, relaxed)
# Total magnetization = 0.000 μB per cell
# DOS at the Fermi energy = 9.2 states/eV per cell
# Raw total energy = -0.2540 hartree per atom
data_ZnIr2Ru
_chemical_formula_sum 'Zn2 Ir4 Ru2'
_cell_length_a 2.875
_cell_length_b 4.477
_cell_length_c 8.845
_cell_angle_alpha 90.00
_cell_angle_beta 90.00
_cell_angle_gamma 90.00
_space_group_name_H-M_alt 'I m m 2'
_space_group_IT_number 44
loop_
_space_group_symop_operation_xyz
'x,y,z'
'-x,-y,z'
'-x,y,z'
'x,-y,z'
'x+1/2,y+1/2,z+1/2'
'-x+1/2,-y+1/2,z+1/2'
'-x+1/2,y+1/2,z+1/2'
'x+1/2,-y+1/2,z+1/2'
loop_
_atom_site_label
_atom_site_fract_x
_atom_site_fract_y
_atom_site_fract_z
Zn1 0.000 0.000 0.000
Ir1 0.000 0.000 0.503
Ir2 0.000 0.500 0.734
Ru1 0.000 0.500 0.265


Record 3
# ZnIr3Ru (PBE-GGA, relaxed)
# Total magnetization = 0.000 μB per cell
# Energy above the lowest structure with this stoichiometry = 0 meV/atom
# DOS at the Fermi energy = 5.8 states/eV per cell
data_ZnIr3Ru
_chemical_formula_sum 'Zn1 Ir3 Ru1'
_cell_length_a 4.693
_cell_length_b 4.693
_cell_length_c 4.693
_cell_angle_alpha 90.00
_cell_angle_beta 90.00
_cell_angle_gamma 90.00
_space_group_name_H-M_alt 'P m -3 m'
_space_group_IT_number 221
_space_group_name_Hall '-P 4 2 3'
loop_
_atom_site_label
_atom_site_fract_x
_atom_site_fract_y
_atom_site_fract_z
Zn1 0.000 0.000 0.000
Ir1 0.000 0.500 0.500
Ru1 0.500 0.500 0.500


Record 4
# ZnIr2Ru (PBE-GGA, relaxed)
# Total magnetization = 0.978 μB per cell
# DOS at the Fermi energy = 5.5 states/eV per cell
# Raw total energy = -0.2526 hartree per atom
data_ZnIr2Ru
_chemical_formula_sum 'Zn1 Ir2 Ru1'
_cell_length_a 4.551
_cell_length_b 4.551
_cell_length_c 2.801
_cell_angle_alpha 90.00
_cell_angle_beta 90.00
_cell_angle_gamma 90.00
_space_group_name_H-M_alt 'P 4/m m m'
_space_group_IT_number 123
_space_group_name_Hall '-P 4 2'
loop_
_atom_site_label
_atom_site_fract_x
_atom_site_fract_y
_atom_site_fract_z
Zn1 0.000 0.000 0.000
Ir1 0.000 0.500 0.500
Ru1 0.500 0.500 0.000